DFT (PBE) results for crystalline CsIr2 at its relaxed geometry.

```
3
Lattice="0.000 3.264 3.264 3.264 0.000 3.264 3.264 3.264 0.000" Properties=species:S:1:pos:R:3 pbc="T T T"
Cs 0.000 0.000 0.000
Ir 1.632 1.632 1.632
Ir 4.896 4.896 4.896
```

## Properties
Magnetic moment (μB/cell): 0.35
Energy above the most stable polymorph in this dataset (meV/atom): 1702.2
Volume (Å³/f.u.): 69.5
Raw total energy (eV per cell): -10.5